Rb5In3I12: optimized geometry, PBE.

Summary:
Its density of states at the Fermi level is 21.4 states/eV/f.u. As for the crystal system: cubic. The final energy is -2.29 eV per atom. For the size of the total moment, the calculation gives 0.00 Bohr magnetons per cell.

CIF file:
```
data_Rb5In3I12
_symmetry_space_group_name_H-M 'I a -3 d'
_symmetry_Int_Tables_number 230
_symmetry_space_group_name_Hall '-I 4bd 2c 3'
_cell_length_a 20.4735
_cell_length_b 20.4735
_cell_length_c 20.4735
_cell_angle_alpha 90.00
_cell_angle_beta 90.00
_cell_angle_gamma 90.00
loop_
_atom_site_label
_atom_site_type_symbol
_atom_site_fract_x
_atom_site_fract_y
_atom_site_fract_z
Rb1 Rb 0.0000 0.0000 0.0000
Rb2 Rb 0.0000 0.2500 0.3750
In1 In 0.0000 0.2500 0.1250
I1 I 0.0201 0.0999 0.6451
```